# 1
AcScSi | GGA-PBE | relaxed

Calculated total energy, eV for the cell shown: -35.00
Excess energy over the best structure of this formula in the dataset, kcal/mol of atoms: 0.00
Formation energy without anion corrections, kcal/mol of atoms: -12.57
Symmetry: No. 129
Total moment, μB/f.u.: 0.00

a = 4.4612 Å, b = 4.4612 Å, c = 8.1472 Å
α = 89.98°, β = 90.02°, γ = 90.00°
Atoms (fractional coordinates):
Ac1 0.2500 0.7500 0.3482
Ac2 0.7500 0.2500 0.6518
Sc1 0.7500 0.7500 0.0000
Sc2 0.2500 0.2500 0.0000
Si1 0.7500 0.2500 0.2135
Si2 0.2500 0.7500 0.7865



# 2
ScFe2Pt | GGA-PBE | relaxed

Calculated total energy, eV for the cell shown: -30.69
Symmetry: No. 99
Total moment, μB/f.u.: 5.03

a = 3.1674 Å, b = 3.1674 Å, c = 5.9894 Å
α = 90.00°, β = 90.00°, γ = 90.00°
Atoms (fractional coordinates):
Fe1 0.0000 0.0000 0.0324
Fe2 0.5000 0.5000 0.2256
Pt1 0.0000 0.0000 0.4888
Sc1 0.5000 0.5000 0.7533



Q: Which of these has the highest total moment?
A: ScFe2Pt



Q: Which value of total moment does entry 1 give?
A: 0.00 μB/f.u.



Please write out number 1 again, unchanged.
AcScSi | GGA-PBE | relaxed

Calculated total energy, eV for the cell shown: -35.00
Excess energy over the best structure of this formula in the dataset, kcal/mol of atoms: 0.00
Formation energy without anion corrections, kcal/mol of atoms: -12.57
Symmetry: No. 129
Total moment, μB/f.u.: 0.00

a = 4.4612 Å, b = 4.4612 Å, c = 8.1472 Å
α = 89.98°, β = 90.02°, γ = 90.00°
Atoms (fractional coordinates):
Ac1 0.2500 0.7500 0.3482
Ac2 0.7500 0.2500 0.6518
Sc1 0.7500 0.7500 0.0000
Sc2 0.2500 0.2500 0.0000
Si1 0.7500 0.2500 0.2135
Si2 0.2500 0.7500 0.7865



Q: What is the total moment in the first record?
A: 0.00 μB/f.u.